[1]
Compound: BaZnIn
Source: Alexandria via LeMat-Bulk
Functional: meta-GGA SCAN
Structure: PBEsol geometry

Unit cell a=7.374 b=7.374 c=7.374 alpha=90.00 beta=90.00 gamma=90.00
Atoms (fractional coordinates):
Ba1 0.000 0.000 0.000
Ba2 0.000 0.500 0.500
Ba3 0.500 0.000 0.500
Ba4 0.500 0.500 0.000
Zn1 0.000 0.000 0.500
Zn2 0.000 0.500 0.000
Zn3 0.500 0.000 0.000
Zn4 0.500 0.500 0.500
In1 0.250 0.250 0.750
In2 0.250 0.750 0.250
In3 0.750 0.250 0.250
In4 0.750 0.750 0.750

Output
The calculation puts the formation energy at -0.09 eV/f.u. Its crystal system is cubic. Its density of states at the Fermi level is 5.191 states/eV/f.u.



[2]
Compound: Ba3Ir
Source: Alexandria via LeMat-Bulk
Functional: meta-GGA SCAN
Structure: PBEsol geometry

Unit cell a=6.235 b=13.799 c=4.452 alpha=90.00 beta=90.00 gamma=90.00
Atoms (fractional coordinates):
Ba1 0.000 0.000 0.000
Ba2 0.000 0.354 0.500
Ba3 0.000 0.646 0.500
Ba4 0.500 0.146 0.500
Ba5 0.500 0.500 0.000
Ba6 0.500 0.854 0.500
Ir1 0.000 0.500 0.000
Ir2 0.500 0.000 0.000

Output
The calculation puts the formation energy at -0.52 eV/f.u. Its crystal system is orthorhombic. Its density of states at the Fermi level is 2.719 states/eV/f.u.



[3]
Compound: Ba3Ir
Source: Alexandria via LeMat-Bulk
Functional: meta-GGA SCAN
Structure: PBEsol geometry

Unit cell a=4.105 b=11.776 c=7.360 alpha=90.00 beta=90.00 gamma=90.00
Atoms (fractional coordinates):
Ba1 0.000 0.000 0.000
Ba2 0.000 0.166 0.534
Ba3 0.000 0.834 0.534
Ba4 0.500 0.334 0.034
Ba5 0.500 0.500 0.500
Ba6 0.500 0.666 0.034
Ir1 0.000 0.500 0.199
Ir2 0.500 0.000 0.699

Output
The calculation puts the formation energy at -0.26 eV/f.u. Its crystal system is orthorhombic. Its density of states at the Fermi level is 2.982 states/eV/f.u.